Compound: LiTmPu
Source: Alexandria via LeMat-Bulk
Functional: PBE
Structure: relaxed

Computed properties:
Uncorrected energy: -6.6617 eV per atom
Calculated volume: 78.4 Å³/f.u.

Cell lengths 3.2968, 3.2968, 14.4263 Å; angles 90.00, 90.00, 90.00 degrees
With the nearest neighbours (Å) after each atom.
Space group I4mm (No. 107)
Inequivalent atoms, fractional coordinates:
1 Li 0.0000 0.0000 0.0000 x2  4 Li 3.30, 4 Pu 3.30, 4 Tm 3.32
2 Tm 0.0000 0.0000 0.3362 x2  4 Tm 3.30, 4 Li 3.32, 4 Pu 3.43
3 Pu 0.0000 0.0000 0.6618 x2  4 Pu 3.30, 4 Li 3.30, 4 Tm 3.43